Here is a crystal of ScTeBr2 relaxed with PBEsol from Alexandria. Energies are from SCAN.

```
data_ScTeBr2
_symmetry_space_group_name_H-M 'P 4 m m'
_symmetry_Int_Tables_number 99
_symmetry_space_group_name_Hall 'P 4 -2'
_cell_length_a 3.742
_cell_length_b 3.742
_cell_length_c 7.558
_cell_angle_alpha 90.00
_cell_angle_beta 90.00
_cell_angle_gamma 90.00
loop_
_atom_site_label
_atom_site_type_symbol
_atom_site_fract_x
_atom_site_fract_y
_atom_site_fract_z
Sc1 Sc 0.000 0.000 0.000
Te1 Te 0.500 0.500 0.159
Br1 Br 0.000 0.000 0.385
Br2 Br 0.500 0.500 0.754
```

Calculated values
Uncorrected formation energy = -0.851 eV per atom
Electronic total energy = -23.4525 eV/atom
Density of states at the Fermi level = 2.5 states/eV/cell
ΔE to the lowest computed polymorph = 271 meV/atom
M_tot = 0.001 μB per formula unit